! InAuSN2 PBE optimized geometry; values from VASP
! Energy above the most stable polymorph in this dataset (meV/atom): 0.0
! Uncorrected formation energy (kJ per mole of atoms): 137
! VASP energy (eV for the cell shown): -19.689
! Density (g cm⁻³): 5.6
&SYSTEM
  ibrav = 0, nat = 5, ntyp = 4
/
ATOMIC_SPECIES
In 114.82 In.upf
Au 196.97 Au.upf
S 32.06 S.upf
N 14.01 N.upf
CELL_PARAMETERS angstrom
3.9400 0.0000 0.0000
0.0000 3.9400 0.0000
0.0000 0.0000 7.0802
ATOMIC_POSITIONS crystal
In 0.0000 0.0000 0.0000
Au 0.5000 0.5000 0.5000
S 0.5000 0.5000 0.0000
N 0.0000 0.5000 0.5000
N 0.5000 0.0000 0.5000

---

! InTe2AuN PBE optimized geometry; values from VASP
! Energy above the most stable polymorph in this dataset (meV/atom): 0.0
! Uncorrected formation energy (kJ per mole of atoms): 72
! VASP energy (eV for the cell shown): -16.881
! Density (g cm⁻³): 7.3
&SYSTEM
  ibrav = 0, nat = 5, ntyp = 4
/
ATOMIC_SPECIES
In 114.82 In.upf
Te 127.60 Te.upf
Au 196.97 Au.upf
N 14.01 N.upf
CELL_PARAMETERS angstrom
5.8684 0.0000 0.0000
0.0000 5.8684 0.0000
0.0000 0.0000 3.8316
ATOMIC_POSITIONS crystal
In 0.0000 0.0000 0.0000
Te 0.0000 0.5000 0.5000
Te 0.5000 0.0000 0.5000
Au 0.5000 0.5000 0.5000
N 0.5000 0.5000 0.0000

---

! InTe2AuN PBE optimized geometry; values from VASP
! Energy above the most stable polymorph in this dataset (meV/atom): 353.8
! Uncorrected formation energy (kJ per mole of atoms): 106
! VASP energy (eV for the cell shown): -15.112
! Density (g cm⁻³): 7.3
&SYSTEM
  ibrav = 0, nat = 5, ntyp = 4
/
ATOMIC_SPECIES
In 114.82 In.upf
Te 127.60 Te.upf
Au 196.97 Au.upf
N 14.01 N.upf
CELL_PARAMETERS angstrom
5.8207 0.0000 0.0000
0.0000 5.8207 0.0000
0.0000 0.0000 3.9162
ATOMIC_POSITIONS crystal
In 0.0000 0.0000 0.0000
Te 0.0000 0.5000 0.0000
Te 0.5000 0.0000 0.0000
Au 0.5000 0.5000 0.5000
N 0.0000 0.0000 0.5000

---

! ThInAuN PBE optimized geometry; values from VASP
! Uncorrected formation energy (kJ per mole of atoms): -91
! VASP energy (eV for the cell shown): -51.038
! Density (g cm⁻³): 10.8
&SYSTEM
  ibrav = 0, nat = 8, ntyp = 4
/
ATOMIC_SPECIES
Th 232.04 Th.upf
In 114.82 In.upf
Au 196.97 Au.upf
N 14.01 N.upf
CELL_PARAMETERS angstrom
4.2905 0.0000 0.0000
0.0000 4.2905 0.0000
0.0000 0.0000 9.3094
ATOMIC_POSITIONS crystal
Th 0.2500 0.2500 0.1134
Th 0.7500 0.7500 0.8866
In 0.2500 0.7500 0.5000
In 0.7500 0.2500 0.5000
Au 0.2500 0.2500 0.7044
Au 0.7500 0.7500 0.2956
N 0.2500 0.7500 0.0000
N 0.7500 0.2500 0.0000

---

! TlInAu2N PBE optimized geometry; values from VASP
! Uncorrected formation energy (kJ per mole of atoms): 56
! VASP energy (eV for the cell shown): -17.102
! Density (g cm⁻³): 11.7
&SYSTEM
  ibrav = 0, nat = 5, ntyp = 4
/
ATOMIC_SPECIES
Tl 204.38 Tl.upf
In 114.82 In.upf
Au 196.97 Au.upf
N 14.01 N.upf
CELL_PARAMETERS angstrom
4.4061 0.0000 0.0000
0.0000 4.4061 0.0000
0.0000 0.0000 5.3274
ATOMIC_POSITIONS crystal
Tl 0.0000 0.0000 0.0000
In 0.5000 0.5000 0.0000
Au 0.0000 0.5000 0.5000
Au 0.5000 0.0000 0.5000
N 0.5000 0.5000 0.5000

---

! NaIn5Au2 PBE optimized geometry; values from VASP
! VASP energy (eV for the cell shown): -45.868
! Density (g cm⁻³): 8.1
! ΔH_f (0 K) (kJ per mole of atoms): -16.50
&SYSTEM
  ibrav = 0, nat = 16, ntyp = 3
/
ATOMIC_SPECIES
Na 22.99 Na.upf
In 114.82 In.upf
Au 196.97 Au.upf
CELL_PARAMETERS angstrom
4.1971 0.0000 0.0000
0.0000 8.6254 0.0000
0.0000 0.0000 11.1689
ATOMIC_POSITIONS crystal
Na 0.0000 0.0000 0.0000
Na 0.5000 0.5000 0.5000
In 0.0000 0.2018 0.3559
In 0.0000 0.2018 0.6441
In 0.0000 0.5000 0.0000
In 0.0000 0.7982 0.3559
In 0.0000 0.7982 0.6441
In 0.5000 0.0000 0.5000
In 0.5000 0.2982 0.1441
In 0.5000 0.2982 0.8559
In 0.5000 0.7018 0.1441
In 0.5000 0.7018 0.8559
Au 0.0000 0.5000 0.2598
Au 0.0000 0.5000 0.7402
Au 0.5000 0.0000 0.2402
Au 0.5000 0.0000 0.7598

---

! NaIn2Au2 PBE optimized geometry; values from VASP
! Energy above the most stable polymorph in this dataset (meV/atom): 0.0
! VASP energy (eV for the cell shown): -29.562
! Density (g cm⁻³): 9.2
! ΔH_f (0 K) (kJ per mole of atoms): -27.60
&SYSTEM
  ibrav = 0, nat = 10, ntyp = 3
/
ATOMIC_SPECIES
Na 22.99 Na.upf
In 114.82 In.upf
Au 196.97 Au.upf
CELL_PARAMETERS angstrom
5.4916 0.0000 0.0000
0.0000 4.7945 0.0000
-2.3043 0.0000 8.9014
ATOMIC_POSITIONS crystal
Na 0.1691 0.2500 0.2598
Na 0.8309 0.7500 0.7402
In 0.1959 0.2500 0.6147
In 0.3597 0.7500 0.0644
In 0.6403 0.2500 0.9356
In 0.8041 0.7500 0.3853
Au 0.1297 0.2500 0.9106
Au 0.3378 0.7500 0.4831
Au 0.6622 0.2500 0.5169
Au 0.8703 0.7500 0.0894

---

! NaInAu5 PBE optimized geometry; values from VASP
! VASP energy (eV for the cell shown): -87.258
! Density (g cm⁻³): 12.7
! ΔH_f (0 K) (kJ per mole of atoms): -18.89
&SYSTEM
  ibrav = 0, nat = 28, ntyp = 3
/
ATOMIC_SPECIES
Na 22.99 Na.upf
In 114.82 In.upf
Au 196.97 Au.upf
CELL_PARAMETERS angstrom
8.9943 0.0000 0.0000
0.0000 5.7534 0.0000
0.0000 0.0000 11.3661
ATOMIC_POSITIONS crystal
Na 0.2483 0.2500 0.0535
Na 0.2517 0.7500 0.5535
Na 0.7483 0.2500 0.4465
Na 0.7517 0.7500 0.9465
In 0.1458 0.7500 0.8521
In 0.3542 0.2500 0.3521
In 0.6458 0.7500 0.6479
In 0.8542 0.2500 0.1479
Au 0.0577 0.0106 0.3095
Au 0.0577 0.4894 0.3095
Au 0.0714 0.7500 0.0844
Au 0.1156 0.2500 0.5237
Au 0.1866 0.2500 0.7726
Au 0.3134 0.7500 0.2726
Au 0.3844 0.7500 0.0237
Au 0.4286 0.2500 0.5844
Au 0.4423 0.5106 0.8095
Au 0.4423 0.9894 0.8095
Au 0.5577 0.0106 0.1905
Au 0.5577 0.4894 0.1905
Au 0.5714 0.7500 0.4156
Au 0.6156 0.2500 0.9763
Au 0.6866 0.2500 0.7274
Au 0.8134 0.7500 0.2274
Au 0.8844 0.7500 0.4763
Au 0.9286 0.2500 0.9156
Au 0.9423 0.5106 0.6905
Au 0.9423 0.9894 0.6905

---

! Na5In2Au5 PBE optimized geometry; values from VASP
! VASP energy (eV for the cell shown): -32.108
! Density (g cm⁻³): 8.0
! ΔH_f (0 K) (kJ per mole of atoms): -29.34
&SYSTEM
  ibrav = 0, nat = 12, ntyp = 3
/
ATOMIC_SPECIES
Na 22.99 Na.upf
In 114.82 In.upf
Au 196.97 Au.upf
CELL_PARAMETERS angstrom
5.6051 0.0000 0.0000
2.6390 4.9818 0.0000
0.8673 0.5288 9.8990
ATOMIC_POSITIONS crystal
Na 0.0000 0.0000 0.0000
Na 0.3339 0.3342 0.5580
Na 0.3372 0.3370 0.9113
Na 0.6628 0.6630 0.0887
Na 0.6661 0.6658 0.4420
In 0.1794 0.1768 0.2488
In 0.8206 0.8232 0.7512
Au 0.0000 0.0000 0.5000
Au 0.1700 0.6687 0.2656
Au 0.3303 0.8284 0.7347
Au 0.6697 0.1716 0.2653
Au 0.8300 0.3313 0.7344

---

! NaInAu3 PBE optimized geometry; values from VASP
! Energy above the most stable polymorph in this dataset (meV/atom): 306.1
! VASP energy (eV for the cell shown): -13.450
! Density (g cm⁻³): 8.2
! ΔH_f (0 K) (kJ per mole of atoms): 8.48
&SYSTEM
  ibrav = 0, nat = 5, ntyp = 3
/
ATOMIC_SPECIES
Na 22.99 Na.upf
In 114.82 In.upf
Au 196.97 Au.upf
CELL_PARAMETERS angstrom
5.2846 0.0000 0.0000
0.0000 5.2846 0.0000
0.0000 0.0000 5.2846
ATOMIC_POSITIONS crystal
Na 0.0000 0.0000 0.0000
In 0.5000 0.5000 0.5000
Au 0.0000 0.5000 0.5000
Au 0.5000 0.0000 0.5000
Au 0.5000 0.5000 0.0000

---

! Na5In4Au2 PBE optimized geometry; values from VASP
! VASP energy (eV for the cell shown): -26.038
! Density (g cm⁻³): 5.6
! ΔH_f (0 K) (kJ per mole of atoms): -16.97
&SYSTEM
  ibrav = 0, nat = 11, ntyp = 3
/
ATOMIC_SPECIES
Na 22.99 Na.upf
In 114.82 In.upf
Au 196.97 Au.upf
CELL_PARAMETERS angstrom
8.2959 0.0000 0.0000
0.0000 3.4103 0.0000
-0.7314 0.0000 10.1905
ATOMIC_POSITIONS crystal
Na 0.0000 0.0000 0.0000
Na 0.0362 0.0000 0.3423
Na 0.3536 0.0000 0.8651
Na 0.6464 0.0000 0.1349
Na 0.9638 0.0000 0.6577
In 0.2954 0.5000 0.1527
In 0.2951 0.5000 0.5698
In 0.7049 0.5000 0.4302
In 0.7046 0.5000 0.8473
Au 0.4177 0.0000 0.3615
Au 0.5823 0.0000 0.6385

---

! NaIn4Au PBE optimized geometry; values from VASP
! Energy above the most stable polymorph in this dataset (meV/atom): 0.0
! VASP energy (eV for the cell shown): -33.346
! Density (g cm⁻³): 7.4
! ΔH_f (0 K) (kJ per mole of atoms): -18.06
&SYSTEM
  ibrav = 0, nat = 12, ntyp = 3
/
ATOMIC_SPECIES
Na 22.99 Na.upf
In 114.82 In.upf
Au 196.97 Au.upf
CELL_PARAMETERS angstrom
2.2996 -8.4492 0.0000
2.2996 8.4492 0.0000
0.0000 0.0000 7.8580
ATOMIC_POSITIONS crystal
Na 0.1342 0.8658 0.7500
Na 0.8658 0.1342 0.2500
In 0.0568 0.9432 0.2500
In 0.3211 0.6789 0.5463
In 0.3211 0.6789 0.9537
In 0.5000 0.5000 0.0000
In 0.5000 0.5000 0.5000
In 0.6789 0.3211 0.0463
In 0.6789 0.3211 0.4537
In 0.9432 0.0568 0.7500
Au 0.2259 0.7741 0.2500
Au 0.7741 0.2259 0.7500

---

! NaIn2Au7 PBE optimized geometry; values from VASP
! VASP energy (eV for the cell shown): -30.691
! Density (g cm⁻³): 11.7
! ΔH_f (0 K) (kJ per mole of atoms): -9.20
&SYSTEM
  ibrav = 0, nat = 10, ntyp = 3
/
ATOMIC_SPECIES
Na 22.99 Na.upf
In 114.82 In.upf
Au 196.97 Au.upf
CELL_PARAMETERS angstrom
3.4990 -7.9604 0.0000
3.4990 7.9604 0.0000
0.0000 0.0000 4.1396
ATOMIC_POSITIONS crystal
Na 0.0000 0.0000 0.0000
In 0.2612 0.7388 0.5000
In 0.7388 0.2612 0.5000
Au 0.0860 0.3093 0.5000
Au 0.3093 0.0860 0.5000
Au 0.3783 0.6217 0.0000
Au 0.5000 0.5000 0.5000
Au 0.6217 0.3783 0.0000
Au 0.6907 0.9140 0.5000
Au 0.9140 0.6907 0.5000

---

! Na2InAu PBE optimized geometry; values from VASP
! VASP energy (eV for the cell shown): -9.486
! Density (g cm⁻³): 6.4
! ΔH_f (0 K) (kJ per mole of atoms): -20.07
&SYSTEM
  ibrav = 0, nat = 4, ntyp = 3
/
ATOMIC_SPECIES
Na 22.99 Na.upf
In 114.82 In.upf
Au 196.97 Au.upf
CELL_PARAMETERS angstrom
4.3529 0.0000 0.0000
0.0000 4.3529 0.0000
0.0000 0.0000 4.9152
ATOMIC_POSITIONS crystal
Na 0.0000 0.5000 0.0000
Na 0.5000 0.0000 0.0000
In 0.0000 0.0000 0.5000
Au 0.5000 0.5000 0.5000

---

! NaIn2Au9 PBE optimized geometry; values from VASP
! Energy above the most stable polymorph in this dataset (meV/atom): 62.1
! VASP energy (eV for the cell shown): -37.068
! Density (g cm⁻³): 14.4
! ΔH_f (0 K) (kJ per mole of atoms): -6.24
&SYSTEM
  ibrav = 0, nat = 12, ntyp = 3
/
ATOMIC_SPECIES
Na 22.99 Na.upf
In 114.82 In.upf
Au 196.97 Au.upf
CELL_PARAMETERS angstrom
9.5268 0.0000 0.0000
-4.7634 8.2505 0.0000
0.0000 0.0000 2.9645
ATOMIC_POSITIONS crystal
Na 0.0000 0.0000 0.0000
In 0.3333 0.6667 0.0000
In 0.6667 0.3333 0.0000
Au 0.0000 0.5000 0.0000
Au 0.1720 0.3441 0.5000
Au 0.1720 0.8280 0.5000
Au 0.3441 0.1720 0.5000
Au 0.5000 0.0000 0.0000
Au 0.5000 0.5000 0.0000
Au 0.6559 0.8280 0.5000
Au 0.8280 0.1720 0.5000
Au 0.8280 0.6559 0.5000

---

! Na6InAu2 PBE optimized geometry; values from VASP
! Energy above the most stable polymorph in this dataset (meV/atom): 0.0
! VASP energy (eV for the cell shown): -19.064
! Density (g cm⁻³): 4.3
! ΔH_f (0 K) (kJ per mole of atoms): -19.90
&SYSTEM
  ibrav = 0, nat = 9, ntyp = 3
/
ATOMIC_SPECIES
Na 22.99 Na.upf
In 114.82 In.upf
Au 196.97 Au.upf
CELL_PARAMETERS angstrom
5.3901 -2.3202 0.0000
5.3901 2.3202 0.0000
-3.1060 0.0000 9.9114
ATOMIC_POSITIONS crystal
Na 0.0218 0.0218 0.2393
Na 0.2282 0.2282 0.6032
Na 0.3286 0.3286 0.9427
Na 0.6714 0.6714 0.0573
Na 0.7718 0.7718 0.3968
Na 0.9782 0.9782 0.7607
In 0.5000 0.5000 0.5000
Au 0.3264 0.3264 0.2366
Au 0.6736 0.6736 0.7634

---

! NaIn4Au2 PBE optimized geometry; values from VASP
! Energy above the most stable polymorph in this dataset (meV/atom): 61.8
! VASP energy (eV for the cell shown): -40.275
! Density (g cm⁻³): 8.4
! ΔH_f (0 K) (kJ per mole of atoms): -18.06
&SYSTEM
  ibrav = 0, nat = 14, ntyp = 3
/
ATOMIC_SPECIES
Na 22.99 Na.upf
In 114.82 In.upf
Au 196.97 Au.upf
CELL_PARAMETERS angstrom
-4.5316 4.5316 4.2422
4.5316 -4.5316 4.2422
4.5316 4.5316 -4.2422
ATOMIC_POSITIONS crystal
Na 0.0000 0.0000 0.0000
Na 0.7500 0.2500 0.5000
In 0.0662 0.7897 0.6188
In 0.1709 0.4474 0.3812
In 0.1974 0.4209 0.8812
In 0.2103 0.8291 0.2765
In 0.5397 0.3162 0.1188
In 0.5526 0.9338 0.7235
In 0.5791 0.4603 0.7765
In 0.6838 0.8026 0.2235
Au 0.1187 0.1250 0.4937
Au 0.3750 0.8813 0.0063
Au 0.6313 0.6250 0.5063
Au 0.8750 0.3687 0.9937

---

! Na2InAu PBE optimized geometry; values from VASP
! VASP energy (eV for the cell shown): -19.461
! Density (g cm⁻³): 6.0
! ΔH_f (0 K) (kJ per mole of atoms): -25.97
&SYSTEM
  ibrav = 0, nat = 8, ntyp = 3
/
ATOMIC_SPECIES
Na 22.99 Na.upf
In 114.82 In.upf
Au 196.97 Au.upf
CELL_PARAMETERS angstrom
4.8639 0.0000 0.0000
0.0000 9.4531 0.0000
-2.4214 0.0000 4.3243
ATOMIC_POSITIONS crystal
Na 0.1644 0.0774 0.3283
Na 0.1644 0.4226 0.3283
Na 0.8356 0.5774 0.6717
Na 0.8356 0.9226 0.6717
In 0.4962 0.2500 0.9930
In 0.5038 0.7500 0.0070
Au 0.1724 0.7500 0.3477
Au 0.8276 0.2500 0.6523

---

! NaIn2Au2 PBE optimized geometry; values from VASP
! Energy above the most stable polymorph in this dataset (meV/atom): 46.6
! VASP energy (eV for the cell shown): -29.096
! Density (g cm⁻³): 8.5
! ΔH_f (0 K) (kJ per mole of atoms): -23.10
&SYSTEM
  ibrav = 0, nat = 10, ntyp = 3
/
ATOMIC_SPECIES
Na 22.99 Na.upf
In 114.82 In.upf
Au 196.97 Au.upf
CELL_PARAMETERS angstrom
4.5786 0.0000 0.0000
0.0000 4.5786 0.0000
0.0000 0.0000 12.0467
ATOMIC_POSITIONS crystal
Na 0.0000 0.0000 0.0000
Na 0.5000 0.5000 0.5000
In 0.0000 0.5000 0.2500
In 0.0000 0.5000 0.7500
In 0.5000 0.0000 0.2500
In 0.5000 0.0000 0.7500
Au 0.0000 0.0000 0.3880
Au 0.0000 0.0000 0.6120
Au 0.5000 0.5000 0.1120
Au 0.5000 0.5000 0.8880

---

! NaInAu4 PBE optimized geometry; values from VASP
! Energy above the most stable polymorph in this dataset (meV/atom): 0.0
! VASP energy (eV for the cell shown): -36.826
! Density (g cm⁻³): 12.7
! ΔH_f (0 K) (kJ per mole of atoms): -20.03
&SYSTEM
  ibrav = 0, nat = 12, ntyp = 3
/
ATOMIC_SPECIES
Na 22.99 Na.upf
In 114.82 In.upf
Au 196.97 Au.upf
CELL_PARAMETERS angstrom
2.1537 -9.7275 0.0000
2.1537 9.7275 0.0000
0.0000 0.0000 5.7750
ATOMIC_POSITIONS crystal
Na 0.0850 0.9150 0.7500
Na 0.9150 0.0850 0.2500
In 0.2253 0.7747 0.2500
In 0.7747 0.2253 0.7500
Au 0.0696 0.9304 0.2500
Au 0.3468 0.6532 0.5054
Au 0.3468 0.6532 0.9946
Au 0.5000 0.5000 0.0000
Au 0.5000 0.5000 0.5000
Au 0.6532 0.3468 0.0054
Au 0.6532 0.3468 0.4946
Au 0.9304 0.0696 0.7500